(1)
The following is a DFT calculation (PBE) of LiBiSbTe2 after structural relaxation.

## Properties
The space-group type is P4/mmm (123). The value obtained for the energy relative to the elements, uncorrected is 390 meV per atom. The value obtained for the volume is 42.84 Å³ per atom.

a = 6.062 Å, b = 6.062 Å, c = 5.829 Å
α = 90.00°, β = 90.00°, γ = 90.00°
Sites, in units of the cell vectors:
Li 0.000 0.000 0.000
Bi 0.500 0.500 0.500
Sb 0.500 0.500 0.000
Te 0.000 0.500 0.500
Te 0.500 0.000 0.500

=====

(2)
The following is a DFT calculation (PBE) of LaMoN3 after structural relaxation.

## Properties
The space-group type is Pm-3m (221). The value obtained for the energy relative to the elements, uncorrected is 2001 meV per atom. The value obtained for the volume is 15.20 Å³ per atom.

a = 4.236 Å, b = 4.236 Å, c = 4.236 Å
α = 90.00°, β = 90.00°, γ = 90.00°
Sites, in units of the cell vectors:
La 0.000 0.000 0.000
Mo 0.500 0.500 0.500
N 0.000 0.000 0.500
N 0.000 0.500 0.000
N 0.500 0.000 0.000

=====

(3)
The following is a DFT calculation (PBE) of CuI after structural relaxation.

## Properties
The space-group type is P6_3/m (176). The value obtained for the energy relative to the elements, uncorrected is -115 meV per atom. The value obtained for the volume is 31.48 Å³ per atom.

a = 10.117 Å, b = 10.117 Å, c = 4.262 Å
α = 90.00°, β = 90.00°, γ = 120.00°
Sites, in units of the cell vectors:
Cu 0.023 0.438 0.250
Cu 0.415 0.977 0.250
Cu 0.438 0.415 0.750
Cu 0.562 0.585 0.250
Cu 0.585 0.023 0.750
Cu 0.977 0.562 0.750
I 0.117 0.730 0.250
I 0.270 0.387 0.250
I 0.387 0.117 0.750
I 0.613 0.883 0.250
I 0.730 0.613 0.750
I 0.883 0.270 0.750

=====

(4)
The following is a DFT calculation (PBE) of Ca8Al2Tl after structural relaxation.

## Properties
The space-group type is Immm (71). The value obtained for the total energy is -2.510 eV per atom. The value obtained for the volume is 32.16 Å³ per atom.

a = 9.490 Å, b = 9.490 Å, c = 9.490 Å
α = 146.77°, β = 130.30°, γ = 61.10°
Sites, in units of the cell vectors:
Ca 0.120 0.347 0.773
Ca 0.168 0.168 0.000
Ca 0.283 0.000 0.283
Ca 0.426 0.653 0.773
Ca 0.574 0.347 0.227
Ca 0.717 0.000 0.717
Ca 0.832 0.832 0.000
Ca 0.880 0.653 0.227
Al 0.315 0.815 0.500
Al 0.685 0.185 0.500
Tl 0.000 0.500 0.500

=====

(5)
The following is a DFT calculation (PBE) of Sm6Dy4Sc after structural relaxation.

## Properties
The space-group type is Cmcm (63). The value obtained for the total energy is -4.691 eV per atom. The value obtained for the volume is 32.22 Å³ per atom.

a = 5.595 Å, b = 5.595 Å, c = 25.630 Å
α = 90.00°, β = 90.00°, γ = 117.92°
Sites, in units of the cell vectors:
Sm 0.000 0.000 0.000
Sm 0.000 0.000 0.500
Sm 0.044 0.956 0.750
Sm 0.300 0.700 0.106
Sm 0.300 0.700 0.394
Sm 0.374 0.626 0.683
Sm 0.374 0.626 0.817
Sm 0.626 0.374 0.183
Sm 0.626 0.374 0.317
Sm 0.700 0.300 0.606
Sm 0.700 0.300 0.894
Sm 0.956 0.044 0.250
Dy 0.043 0.957 0.623
Dy 0.043 0.957 0.877
Dy 0.350 0.650 0.544
Dy 0.350 0.650 0.956
Dy 0.650 0.350 0.044
Dy 0.650 0.350 0.456
Dy 0.957 0.043 0.123
Dy 0.957 0.043 0.377
Sc 0.293 0.707 0.250
Sc 0.707 0.293 0.750

=====

(6)
The following is a DFT calculation (PBE) of NdYEr2 after structural relaxation.

## Properties
The space-group type is P2/c (13). The value obtained for the total energy is -5.079 eV per atom. The value obtained for the volume is 32.54 Å³ per atom.

a = 6.296 Å, b = 7.279 Å, c = 11.359 Å
α = 90.00°, β = 90.03°, γ = 90.00°
Sites, in units of the cell vectors:
Nd 0.167 0.247 0.377
Nd 0.167 0.753 0.877
Nd 0.833 0.247 0.123
Nd 0.833 0.753 0.623
Y 0.332 0.499 0.625
Y 0.332 0.501 0.125
Y 0.668 0.499 0.875
Y 0.668 0.501 0.375
Er 0.167 0.248 0.873
Er 0.167 0.752 0.373
Er 0.335 0.001 0.625
Er 0.335 0.999 0.125
Er 0.665 0.001 0.875
Er 0.665 0.999 0.375
Er 0.833 0.248 0.627
Er 0.833 0.752 0.127

=====

(7)
The following is a DFT calculation (PBE) of CrPd2Pt after structural relaxation.

## Properties
The space-group type is I-42d (122). The value obtained for the total energy is -6.228 eV per atom. The value obtained for the volume is 16.39 Å³ per atom.

a = 5.635 Å, b = 5.635 Å, c = 5.635 Å
α = 102.80°, β = 102.80°, γ = 123.85°
Sites, in units of the cell vectors:
Cr 0.000 0.000 0.000
Cr 0.750 0.250 0.500
Pd 0.105 0.625 0.980
Pd 0.375 0.355 0.480
Pd 0.645 0.125 0.020
Pd 0.875 0.895 0.520
Pt 0.250 0.750 0.500
Pt 0.500 0.500 0.000

=====

(8)
The following is a DFT calculation (PBE) of HoSiPt6 after structural relaxation.

## Properties
The space-group type is R-3m (166). The value obtained for the energy relative to the elements, uncorrected is -544 meV per atom. The value obtained for the volume is 19.88 Å³ per atom.

a = 6.979 Å, b = 6.979 Å, c = 6.979 Å
α = 45.76°, β = 45.76°, γ = 45.76°
Sites, in units of the cell vectors:
Ho 0.000 0.000 0.000
Si 0.500 0.500 0.500
Pt 0.067 0.579 0.579
Pt 0.421 0.421 0.933
Pt 0.421 0.933 0.421
Pt 0.579 0.067 0.579
Pt 0.579 0.579 0.067
Pt 0.933 0.421 0.421

=====

(9)
The following is a DFT calculation (PBE) of Ba4ScHg after structural relaxation.

## Properties
The space-group type is F-43m (216). The value obtained for the total energy is -1.869 eV per atom. The value obtained for the volume is 47.46 Å³ per atom.

a = 7.385 Å, b = 7.385 Å, c = 7.385 Å
α = 60.00°, β = 60.00°, γ = 60.00°
Sites, in units of the cell vectors:
Ba 0.125 0.125 0.125
Ba 0.125 0.125 0.624
Ba 0.125 0.624 0.125
Ba 0.624 0.125 0.125
Sc 0.500 0.500 0.500
Hg 0.750 0.750 0.750

=====

(10)
The following is a DFT calculation (PBE) of MnSn2S3 after structural relaxation.

## Properties
The space-group type is Pnma (62). The value obtained for the energy relative to the elements, uncorrected is -415 meV per atom. The value obtained for the volume is 24.71 Å³ per atom.

a = 8.434 Å, b = 4.084 Å, c = 17.216 Å
α = 90.00°, β = 90.00°, γ = 90.00°
Sites, in units of the cell vectors:
Mn 0.124 0.250 0.130
Mn 0.376 0.750 0.630
Mn 0.624 0.250 0.370
Mn 0.876 0.750 0.870
Sn 0.076 0.250 0.739
Sn 0.194 0.250 0.454
Sn 0.306 0.750 0.954
Sn 0.424 0.750 0.239
Sn 0.576 0.250 0.761
Sn 0.694 0.250 0.046
Sn 0.806 0.750 0.546
Sn 0.924 0.750 0.261
S 0.026 0.250 0.891
S 0.136 0.750 0.557
S 0.146 0.250 0.269
S 0.354 0.750 0.769
S 0.364 0.250 0.057
S 0.474 0.750 0.391
S 0.526 0.250 0.609
S 0.636 0.750 0.943
S 0.646 0.250 0.231
S 0.854 0.750 0.731
S 0.864 0.250 0.443
S 0.974 0.750 0.109

=====

(11)
The following is a DFT calculation (PBE) of Tl2CoBr after structural relaxation.

## Properties
The space-group type is I-42d (122). The value obtained for the energy relative to the elements, uncorrected is 318 meV per atom. The value obtained for the volume is 34.94 Å³ per atom.

a = 8.312 Å, b = 8.312 Å, c = 8.312 Å
α = 135.36°, β = 135.36°, γ = 64.97°
Sites, in units of the cell vectors:
Tl 0.034 0.625 0.909
Tl 0.375 0.284 0.409
Tl 0.716 0.125 0.091
Tl 0.875 0.966 0.591
Co 0.000 0.000 0.000
Co 0.750 0.250 0.500
Br 0.250 0.750 0.500
Br 0.500 0.500 0.000

=====

(12)
The following is a DFT calculation (PBE) of DyTm4Zr after structural relaxation.

## Properties
The space-group type is C2/m (12). The value obtained for the total energy is -5.119 eV per atom. The value obtained for the volume is 28.78 Å³ per atom.

a = 5.963 Å, b = 5.963 Å, c = 9.734 Å
α = 113.91°, β = 113.91°, γ = 33.41°
Sites, in units of the cell vectors:
Dy 0.000 0.000 0.000
Tm 0.337 0.337 0.659
Tm 0.338 0.338 0.181
Tm 0.662 0.662 0.819
Tm 0.663 0.663 0.341
Zr 0.000 0.000 0.500

=====

Number 1: magnetization 1.104 μB/cell. Number 2: magnetization 0.021 μB/cell. Number 3: magnetization 0.000 μB/cell. Number 4: magnetization 0.000 μB/cell. Number 5: magnetization 0.000 μB/cell. Number 6: magnetization 0.001 μB/cell. Number 7: magnetization 6.158 μB/cell. Number 8: magnetization 0.000 μB/cell. Number 9: magnetization 2.509 μB/cell. Number 10: magnetization 20.008 μB/cell. Number 11: magnetization 2.207 μB/cell. Number 12: magnetization 0.000 μB/cell.